Entry 1:
Crystalline LaPaSi4 at its relaxed geometry, computed with GGA-PBE.

Cell lengths 7.032, 16.546, 4.107 Å; angles 90.00, 90.00, 90.00 degrees
Fractional positions:
La 0.249 0.188 0.000
La 0.251 0.688 0.000
La 0.749 0.312 0.000
La 0.751 0.812 0.000
Pa 0.250 0.439 0.000
Pa 0.250 0.939 0.000
Pa 0.750 0.061 0.000
Pa 0.750 0.561 0.000
Si 0.081 0.060 0.500
Si 0.081 0.560 0.500
Si 0.083 0.316 0.500
Si 0.085 0.816 0.500
Si 0.415 0.316 0.500
Si 0.417 0.816 0.500
Si 0.419 0.060 0.500
Si 0.419 0.560 0.500
Si 0.581 0.440 0.500
Si 0.581 0.940 0.500
Si 0.583 0.184 0.500
Si 0.585 0.684 0.500
Si 0.915 0.184 0.500
Si 0.917 0.684 0.500
Si 0.919 0.440 0.500
Si 0.919 0.940 0.500

Values from the calculation:
raw formation energy	-0.5654	eV per atom
density of states at the Fermi level	14.61	states/eV/cell
E_tot	-0.4840	Ry per atom
space-group type	Pbam, No. 55

=====

Entry 2:
Crystalline LaPaSi at its relaxed geometry, computed with GGA-PBE.

Cell lengths 4.308, 4.308, 8.456 Å; angles 90.00, 90.00, 90.00 degrees
Fractional positions:
La 0.250 0.250 0.139
La 0.750 0.750 0.861
Pa 0.250 0.750 0.500
Pa 0.750 0.250 0.500
Si 0.250 0.250 0.749
Si 0.750 0.750 0.251

Values from the calculation:
raw formation energy	-0.4380	eV per atom
offset from the most stable computed form	0.0	meV/atom
density of states at the Fermi level	11.46	states/eV/cell
E_tot	-0.5184	Ry per atom
space-group type	P4/nmm, No. 129

=====

Entry 3:
Crystalline LaPaZnSi at its relaxed geometry, computed with GGA-PBE.

Cell lengths 5.099, 5.099, 5.099 Å; angles 60.00, 60.00, 60.00 degrees
Fractional positions:
La 0.000 0.000 0.000
Pa 0.500 0.500 0.500
Zn 0.750 0.750 0.750
Si 0.250 0.250 0.250

Values from the calculation:
raw formation energy	-0.1402	eV per atom
density of states at the Fermi level	6.98	states/eV/cell
E_tot	-0.3984	Ry per atom
space-group type	F-43m, No. 216

=====

Entry 4:
Crystalline La2SmPa at its relaxed geometry, computed with GGA-PBE.

Cell lengths 5.651, 5.651, 5.651 Å; angles 60.79, 60.79, 60.79 degrees
Fractional positions:
La 0.231 0.231 0.231
La 0.769 0.769 0.769
Sm 0.500 0.500 0.500
Pa 0.000 0.000 0.000

Values from the calculation:
offset from the most stable computed form	265.6	meV/atom
density of states at the Fermi level	9.58	states/eV/cell
E_tot	-0.4127	Ry per atom
ΔE_f	1.6	eV per formula unit
space-group type	R-3m, No. 166

=====

Entry 5:
Crystalline La2SmPa at its relaxed geometry, computed with GGA-PBE.

Cell lengths 3.482, 3.482, 10.535 Å; angles 90.00, 90.00, 90.00 degrees
Fractional positions:
La 0.000 0.000 0.225
La 0.000 0.000 0.775
Sm 0.500 0.500 0.500
Pa 0.500 0.500 0.000

Values from the calculation:
offset from the most stable computed form	0.0	meV/atom
density of states at the Fermi level	6.08	states/eV/cell
E_tot	-0.4322	Ry per atom
ΔE_f	0.5	eV per formula unit
space-group type	P4/mmm, No. 123

=====

Entry 6:
Crystalline La2SmPa at its relaxed geometry, computed with GGA-PBE.

Cell lengths 5.034, 5.034, 4.988 Å; angles 90.00, 90.00, 90.00 degrees
Fractional positions:
La 0.000 0.500 0.000
La 0.500 0.000 0.000
Sm 0.000 0.000 0.500
Pa 0.500 0.500 0.500

Values from the calculation:
offset from the most stable computed form	129.2	meV/atom
density of states at the Fermi level	7.18	states/eV/cell
E_tot	-0.4227	Ry per atom
ΔE_f	1.1	eV per formula unit
space-group type	P4/mmm, No. 123

=====

Entry 7:
Crystalline LaPaSn at its relaxed geometry, computed with GGA-PBE.

Cell lengths 5.316, 5.316, 3.225 Å; angles 90.00, 90.00, 120.00 degrees
Fractional positions:
La 0.000 0.000 0.000
Pa 0.333 0.667 0.000
Sn 0.667 0.333 0.500

Values from the calculation:
offset from the most stable computed form	258.6	meV/atom
density of states at the Fermi level	5.04	states/eV/cell
E_tot	-0.4517	Ry per atom
ΔE_f	0.0	eV per formula unit
space-group type	P-6m2, No. 187

=====

Entry 8:
Crystalline LaPaSn at its relaxed geometry, computed with GGA-PBE.

Cell lengths 6.441, 4.856, 11.742 Å; angles 90.00, 90.00, 90.00 degrees
Fractional positions:
La 0.246 0.250 0.058
La 0.254 0.750 0.558
La 0.746 0.250 0.442
La 0.754 0.750 0.942
Pa 0.005 0.250 0.749
Pa 0.495 0.750 0.249
Pa 0.505 0.250 0.751
Pa 0.995 0.750 0.251
Sn 0.246 0.250 0.362
Sn 0.254 0.750 0.862
Sn 0.746 0.250 0.138
Sn 0.754 0.750 0.638

Values from the calculation:
offset from the most stable computed form	0.0	meV/atom
density of states at the Fermi level	21.33	states/eV/cell
E_tot	-0.4707	Ry per atom
ΔE_f	-0.8	eV per formula unit
space-group type	Pnma, No. 62